Here is a geometry-optimized Ca2TlAu structure from Alexandria. Energies are from PBE-GGA.

The structure belongs to space group Imm2 (No. 44); the cell edges are 3.718, 5.139 and 11.673 Å and the angles 90.00°, 90.00° and 90.00°. Symmetry generates all atoms from Ca at (0.000, 0.000, 0.000), Ca at (0.000, 0.500, 0.210), Tl at (0.000, 0.500, 0.789) and Au at (0.000, 0.000, 0.500).

For the calculated volume, the calculation gives 27.88 A^3/atom. The total magnetic moment comes out at 0.0 μB per formula unit. The energy above the lowest structure with this stoichiometry comes out at 0.101 eV/atom. The formation energy is -0.49 eV per atom.